# 1
VASP calculation (PBE) on a relaxed Hf2AgPt crystal.

Output
total magnetic moment = 0.00 μB per cell
SG = P4/mmm
energy of formation = -0.47 eV/atom
calculated volume = 19.09 A^3/atom

Lattice parameters (Å, degrees): 3.3394 3.3394 6.8462 90.00 90.00 90.00
Last column: nearest neighbours and their distance in Å.
Fractional positions:
Hf  0.0000  0.0000  0.2363  4 Pt 2.86, 4 Ag 2.97
Hf  0.0000  0.0000  0.7637  4 Pt 2.86, 4 Ag 2.97
Ag  0.5000  0.5000  0.5000  8 Hf 2.97
Pt  0.5000  0.5000  0.0000  8 Hf 2.86


# 2
VASP calculation (PBE) on a relaxed Hf2AgPt2 crystal.

Output
total magnetic moment = 0.00 μB per cell
SG = P4/mbm
energy of formation = -0.84 eV/atom
calculated volume = 18.94 A^3/atom

Lattice parameters (Å, degrees): 7.6184 7.6184 3.2635 90.00 90.00 90.00
Last column: nearest neighbours and their distance in Å.
Fractional positions:
Hf  0.1649  0.3351  0.0000  6 Pt 2.72-2.81
Hf  0.3351  0.8351  0.0000  6 Pt 2.72-2.81
Hf  0.6649  0.1649  0.0000  6 Pt 2.72-2.81
Hf  0.8351  0.6649  0.0000  6 Pt 2.72-2.81
Ag  0.0000  0.0000  0.5000  4 Pt 2.97, 2 Ag 3.26, 8 Hf 3.28
Ag  0.5000  0.5000  0.5000  4 Pt 2.97, 2 Ag 3.26, 8 Hf 3.28
Pt  0.1333  0.6333  0.5000  6 Hf 2.72-2.81, 1 Pt 2.87, 2 Ag 2.97
Pt  0.3667  0.1333  0.5000  6 Hf 2.72-2.81, 1 Pt 2.87, 2 Ag 2.97
Pt  0.6333  0.8667  0.5000  6 Hf 2.72-2.81, 1 Pt 2.87, 2 Ag 2.97
Pt  0.8667  0.3667  0.5000  6 Hf 2.72-2.81, 1 Pt 2.87, 2 Ag 2.97


# 3
VASP calculation (PBE) on a relaxed Hf4AgPt crystal.

Output
total magnetic moment = 0.00 μB per cell
SG = C2/m
energy of formation = -0.21 eV/atom
calculated volume = 20.43 A^3/atom

Lattice parameters (Å, degrees): 7.6410 7.6410 5.5313 111.10 111.10 24.09
Last column: nearest neighbours and their distance in Å.
Fractional positions:
Hf  0.1614  0.1614  0.3253  2 Pt 2.90, 1 Ag 2.91, 9 Hf 3.04-3.22
Hf  0.3359  0.3359  0.1662  1 Pt 2.92, 2 Ag 2.94, 9 Hf 3.01-3.22
Hf  0.6641  0.6641  0.8338  1 Pt 2.92, 2 Ag 2.94, 9 Hf 3.01-3.22
Hf  0.8386  0.8386  0.6747  2 Pt 2.90, 1 Ag 2.91, 9 Hf 3.04-3.22
Ag  0.0000  0.0000  0.5000  6 Hf 2.91-2.94, 2 Ag 3.19, 4 Pt 3.19
Pt  0.5000  0.5000  0.0000  6 Hf 2.90-2.92, 2 Pt 3.19, 4 Ag 3.19


# 4
VASP calculation (PBE) on a relaxed HfAgPt crystal.

Output
total magnetic moment = 0.00 μB per cell
SG = C2/m
energy of formation = -0.50 eV/atom
calculated volume = 19.18 A^3/atom

Lattice parameters (Å, degrees): 4.9100 4.9100 6.7029 94.22 94.22 45.58
Last column: nearest neighbours and their distance in Å.
Fractional positions:
Hf  0.0754  0.0754  0.2603  4 Pt 2.74-2.75, 5 Ag 2.96-2.99
Hf  0.9246  0.9246  0.7397  4 Pt 2.74-2.75, 5 Ag 2.96-2.99
Ag  0.3591  0.3591  0.0655  3 Ag 2.76-2.83, 3 Pt 2.86-3.05, 5 Hf 2.96-2.99
Ag  0.6409  0.6409  0.9345  3 Ag 2.76-2.83, 3 Pt 2.86-3.05, 5 Hf 2.96-2.99
Pt  0.2128  0.2128  0.6392  4 Hf 2.74-2.75, 2 Pt 2.78, 3 Ag 2.86-3.05
Pt  0.7872  0.7872  0.3608  4 Hf 2.74-2.75, 2 Pt 2.78, 3 Ag 2.86-3.05


# 5
VASP calculation (PBE) on a relaxed HfAgPt3 crystal.

Output
total magnetic moment = 0.00 μB per cell
SG = Pm-3m
energy of formation = 0.65 eV/atom
calculated volume = 23.90 A^3/atom

Lattice parameters (Å, degrees): 4.9254 4.9254 4.9254 90.00 90.00 90.00
Last column: nearest neighbours and their distance in Å.
Fractional positions:
Hf  0.0000  0.0000  0.0000  6 Pt 2.46
Ag  0.5000  0.5000  0.5000  12 Pt 3.48
Pt  0.0000  0.0000  0.5000  2 Hf 2.46
Pt  0.0000  0.5000  0.0000  2 Hf 2.46
Pt  0.5000  0.0000  0.0000  2 Hf 2.46


# 6
VASP calculation (PBE) on a relaxed HfAgPt crystal.

Output
total magnetic moment = 0.00 μB per cell
SG = I4mm
energy of formation = 0.21 eV/atom
calculated volume = 20.46 A^3/atom

Lattice parameters (Å, degrees): 7.7501 7.7501 7.7501 158.70 158.70 30.30
Last column: nearest neighbours and their distance in Å.
Fractional positions:
Hf  0.0000  0.0000  0.0000  1 Pt 2.47
Ag  0.6507  0.6507  0.0000  1 Pt 2.76, 4 Ag 2.86, 4 Hf 3.03
Pt  0.8351  0.8351  0.0000  1 Hf 2.47, 1 Ag 2.76